A geometry-optimized RbPbSe2O8 structure, computed with PBE-GGA.

a = 9.3867 Å, b = 9.3867 Å, c = 9.3867 Å
α = 33.20°, β = 33.20°, γ = 33.20°
Last column: nearest neighbours and their distance in Å.
Atoms (fractional coordinates):
Rb: 0.0000 0.0000 0.0000  12 O 3.19-3.52
Pb: 0.5000 0.5000 0.5000  6 O 2.40
Se: 0.2427 0.2427 0.2427  4 O 1.65-1.69
Se: 0.7573 0.7573 0.7573  4 O 1.65-1.69
O: 0.0743 0.4788 0.7825  1 Se 1.69
O: 0.2175 0.9257 0.5212  1 Se 1.69
O: 0.3047 0.3047 0.3047  1 Se 1.65
O: 0.4788 0.7825 0.0743  1 Se 1.69
O: 0.5212 0.2175 0.9257  1 Se 1.69
O: 0.6953 0.6953 0.6953  1 Se 1.65
O: 0.7825 0.0743 0.4788  1 Se 1.69
O: 0.9257 0.5212 0.2175  1 Se 1.69

Output
**Total energy**: -5.19 eV/atom
**ΔE_f (raw)**: -0.918 eV per atom